[1]
{
  "formula": "ZnReMo2",
  "functional": "PBE",
  "state": "optimized geometry",
  "magnetic_moment_mub_per_cell": 0.00,
  "space_group": "P4mm, No. 99",
  "e_tot_ry_per_atom": -0.628,
  "lattice": [[2.793, 0.000, 0.000], [0.000, 2.793, 0.000], [0.000, 0.000, 7.890]],
  "species": ["Zn", "Re", "Mo", "Mo"],
  "frac_coords": [[0.000, 0.000, 0.000], [0.500, 0.500, 0.756], [0.000, 0.000, 0.518], [0.500, 0.500, 0.252]]
}

=====

[2]
{
  "formula": "Be2SiAs",
  "functional": "PBE",
  "state": "optimized geometry",
  "magnetic_moment_mub_per_cell": 0.00,
  "relative_energy_ev_per_atom": 0.219,
  "e_form_raw_kj_per_mol_fu": 151,
  "space_group": "R-3m, No. 166",
  "e_tot_ry_per_atom": -0.293,
  "lattice": [[1.541, 0.890, 6.497], [-1.541, 0.890, 6.497], [0.000, -1.780, 6.497]],
  "species": ["Be", "Be", "Si", "As"],
  "frac_coords": [[0.249, 0.249, 0.249], [0.751, 0.751, 0.751], [0.500, 0.500, 0.500], [0.000, 0.000, 0.000]]
}

=====

[3]
{
  "formula": "AcSmPbSe",
  "functional": "PBE",
  "state": "optimized geometry",
  "magnetic_moment_mub_per_cell": 0.00,
  "e_form_raw_kj_per_mol_fu": -410,
  "space_group": "P1, No. 1",
  "e_tot_ry_per_atom": -0.372,
  "lattice": [[4.091, 0.000, 0.000], [-2.042, 3.549, 0.000], [-2.044, -1.186, 8.853]],
  "species": ["Ac", "Sm", "Pb", "Se"],
  "frac_coords": [[0.000, 0.000, 0.000], [0.616, 0.808, 0.424], [0.132, 0.560, 0.699], [0.820, 0.410, 0.230]]
}

=====

[4]
{
  "formula": "KInIr2",
  "functional": "PBE",
  "state": "optimized geometry",
  "magnetic_moment_mub_per_cell": 0.00,
  "space_group": "Cmmm, No. 65",
  "e_tot_ry_per_atom": -0.353,
  "lattice": [[1.559, -2.486, 0.000], [1.559, 2.486, 0.000], [0.000, 0.000, 9.926]],
  "species": ["K", "In", "Ir", "Ir"],
  "frac_coords": [[0.000, 0.000, 0.000], [0.000, 0.000, 0.500], [0.500, 0.500, 0.281], [0.500, 0.500, 0.719]]
}